Arrangement one

A relaxed structure of BeTc2O, computed with PBE-GGA.

Properties
**Magnetic moment**: 0.0 μB/cell
**Crystal system**: cubic

Lattice parameters (Å, degrees): 3.9543 3.9543 3.9543 60.00 60.00 60.00
Atoms (fractional coordinates):
Be1 0.0000 0.0000 0.0000
Tc1 0.2500 0.2500 0.2500
Tc2 0.7500 0.7500 0.7500
O1 0.5000 0.5000 0.5000

***

Arrangement two

A relaxed structure of BeTc2O, computed with PBE-GGA.

Properties
**Magnetic moment**: 0.0 μB/cell
**Crystal system**: tetragonal

Lattice parameters (Å, degrees): 4.5051 4.5051 6.2245 68.78 68.78 90.00
Atoms (fractional coordinates):
Be1 0.5000 0.5000 0.0000
Be2 0.2500 0.7500 0.5000
Tc1 0.6706 0.1250 0.2500
Tc2 0.0794 0.6250 0.2500
Tc3 0.3750 0.3294 0.7500
Tc4 0.8750 0.9206 0.7500
O1 0.0000 0.0000 0.0000
O2 0.7500 0.2500 0.5000

***

Least stable = arrangement two